Compound: HfMn2AlO6
Source: Alexandria
Functional: PBE with a Hubbard U
Structure: optimized geometry

Computed properties:
DFT total energy: -7.972 eV/atom
total magnetization: 3.0 μB per formula unit

Cell lengths 5.0765, 5.0765, 13.9679 Å; angles 90.00, 90.00, 120.00 degrees
Space group R3 (No. 146, hexagonal axes)
Symmetry-distinct sites (fractional):
Hf (0.0000, 0.0000, 0.0000) x3
Mn (0.0000, 0.0000, 0.1958) x3
Mn (0.0000, 0.0000, 0.7067) x3
Al (0.0000, 0.0000, 0.5058) x3
O (0.0104, 0.6382, 0.7741) x9
O (0.0352, 0.3617, 0.2646) x9